A plane-wave DFT calculation with PBE was carried out for crystalline Sc2SnTe at its relaxed geometry.

The calculation puts the density at 5.459 Mg/m³. The energy relative to the lowest polymorph listed for this composition is 0.0000 eV per atom. The density of states at the Fermi level comes out at 0.1790 states/eV per atom. Its raw formation energy is -0.876 eV per atom.

The structure belongs to space group I4_1/amd (No. 141, origin choice 2); the cell edges are 5.889, 5.889 and 11.797 Å and the angles 90.00°, 90.00° and 90.00°. The asymmetric unit holds Sc at (0.000, 0.250, 0.122), Sn at (0.000, 0.250, 0.875) and Te at (0.000, 0.250, 0.375).

A plane-wave DFT calculation with PBE was carried out for crystalline CeBi2SeO4 at its relaxed geometry.

The calculation puts the density at 8.525 Mg/m³. Its raw formation energy is -1.892 eV per atom.

The structure belongs to space group P4/mmm (No. 123); the cell edges are 3.902, 3.902 and 8.969 Å and the angles 90.00°, 90.00° and 90.00°. The asymmetric unit holds Ce at (0.000, 0.000, 0.000), Bi at (0.500, 0.500, 0.294), Se at (0.000, 0.000, 0.500) and O at (0.000, 0.500, 0.152).

A plane-wave DFT calculation with PBE was carried out for crystalline Pr3Er at its relaxed geometry.

The calculation puts the density at 6.992 Mg/m³. The energy relative to the lowest polymorph listed for this composition is 0.0187 eV per atom. The density of states at the Fermi level comes out at 1.7327 states/eV per atom. The calculation puts the energy relative to the elements at 0.0325 eV/atom.

The structure belongs to space group P2_1/m (No. 11); the cell edges are 8.716, 3.696 and 8.722 Å and the angles 90.00°, 94.25° and 90.00°. The asymmetric unit holds Pr at (0.084, 0.250, 0.162), Pr at (0.171, 0.250, 0.589), Pr at (0.415, 0.750, 0.331) and Er at (0.338, 0.750, 0.921).

A plane-wave DFT calculation with PBE was carried out for crystalline Sr2TcPb at its relaxed geometry.

The calculation puts the density at 5.457 Mg/m³. The density of states at the Fermi level comes out at 0.9344 states/eV per atom. The calculation puts the energy relative to the elements at 0.2661 eV/atom.

The structure belongs to space group R3m (No. 160, hexagonal axes); the cell edges are 4.7613, 4.7613 and 22.3391 Å and the angles 90.00°, 90.00° and 120.00°. The asymmetric unit holds Sr at (0.0000, 0.0000, 0.0000), Sr at (0.0000, 0.0000, 0.1797), Tc at (0.0000, 0.0000, 0.4228) and Pb at (0.0000, 0.0000, 0.7567).

A plane-wave DFT calculation with PBE was carried out for crystalline AlCoAu2 at its relaxed geometry.

The calculation puts the density at 12.909 Mg/m³. The density of states at the Fermi level comes out at 1.0980 states/eV per atom. The calculation puts the energy relative to the elements at -0.0348 eV/atom.

The structure belongs to space group P4/mmm (No. 123); the cell edges are 3.098, 3.098 and 6.433 Å and the angles 90.00°, 90.00° and 90.00°. The asymmetric unit holds Al at (0.000, 0.000, 0.000), Co at (0.000, 0.000, 0.500) and Au at (0.500, 0.500, 0.249).

A plane-wave DFT calculation with PBE was carried out for crystalline TbTmTlPd at its relaxed geometry.

The calculation puts the density at 10.956 Mg/m³. The density of states at the Fermi level comes out at 0.9416 states/eV per atom. The calculation puts the energy relative to the elements at -0.5491 eV/atom.

The structure belongs to space group F-43m (No. 216); the cell edges are 7.289, 7.289 and 7.289 Å and the angles 90.00°, 90.00° and 90.00°. The asymmetric unit holds Tb at (0.000, 0.000, 0.000), Tm at (0.000, 0.000, 0.500), Tl at (0.250, 0.250, 0.750) and Pd at (0.250, 0.250, 0.250).